## Lu2PuAg (PBE-GGA)

Data for a relaxed Lu2PuAg crystal.

Computed properties:
**Energy above the most stable polymorph in this dataset**: 100 meV/atom
**Space group**: P4/mmm (123)

Cell lengths 3.522, 5.315, 5.315 Å; angles 90.00, 90.00, 90.00 degrees
Site moments in Bohr magnetons follow the coordinates.
Element x y z (fractional)
Lu  0.000  0.000  0.500  -0.36
Lu  0.000  0.500  0.000  -0.36
Ag  0.500  0.000  0.000  -0.02
Pu  0.500  0.500  0.500  -5.64



## LiCd2Si (PBE-GGA)

Data for a relaxed LiCd2Si crystal.

Computed properties:
**Formation energy without anion corrections**: 0.0540 eV per atom
**Space group**: P4/mmm (123)

Cell lengths 3.657, 3.657, 5.703 Å; angles 90.00, 90.00, 90.00 degrees
Element x y z (fractional)
Cd  0.000  0.000  0.002
Cd  0.000  0.000  0.498
Li  0.500  0.500  0.250
Si  0.500  0.500  0.750



## Mn3MoIr (PBE-GGA)

Data for a relaxed Mn3MoIr crystal.

Computed properties:
**Space group**: Pm-3m (221)
**Energy**: -7.629 eV per atom

Cell lengths 4.384, 4.384, 4.384 Å; angles 90.00, 90.00, 90.00 degrees
Element x y z (fractional)
Mo  0.500  0.500  0.500
Ir  0.000  0.000  0.000
Mn  0.000  0.500  0.000
Mn  0.000  0.000  0.500
Mn  0.500  0.000  0.000



## Ge2OsCl2 (PBE-GGA)

Data for a relaxed Ge2OsCl2 crystal.

Computed properties:
**Energy above the most stable polymorph in this dataset**: 323 meV/atom
**Formation energy without anion corrections**: 0.6283 eV per atom
**Space group**: I4/mmm (139)

Cell lengths 3.378, 3.378, 10.472 Å; angles 80.72, 80.72, 90.00 degrees
Element x y z (fractional)
Ge  0.432  0.432  0.135
Ge  0.568  0.568  0.865
Os  0.000  0.000  0.000
Cl  0.750  0.250  0.500
Cl  0.250  0.750  0.500



## CuAs3Se (PBE-GGA)

Data for a relaxed CuAs3Se crystal.

Computed properties:
**Energy above the most stable polymorph in this dataset**: 441 meV/atom
**Formation energy without anion corrections**: 1.1242 eV per atom
**Space group**: Pm-3m (221)

Cell lengths 4.998, 4.998, 4.998 Å; angles 90.00, 90.00, 90.00 degrees
Element x y z (fractional)
As  0.000  0.500  0.000
As  0.000  0.000  0.500
As  0.500  0.000  0.000
Cu  0.500  0.500  0.500
Se  0.000  0.000  0.000



## TiRhS3 (PBE-GGA)

Data for a relaxed TiRhS3 crystal.

Computed properties:
**Energy above the most stable polymorph in this dataset**: 0 meV/atom
**Formation energy without anion corrections**: -0.8698 eV per atom
**Space group**: Cmc2_1 (36)

Cell lengths 3.415, 5.884, 9.295 Å; angles 90.00, 100.59, 90.00 degrees
Element x y z (fractional)
Ti  0.336  0.531  0.673
Ti  0.664  0.031  0.327
Rh  0.839  0.953  0.677
Rh  0.161  0.453  0.323
S  0.901  0.325  0.802
S  0.099  0.825  0.198
S  0.583  0.333  0.165
S  0.417  0.833  0.835
S  0.745  0.652  0.489
S  0.255  0.152  0.511



## Al2TcMo (PBE-GGA)

Data for a relaxed Al2TcMo crystal.

Computed properties:
**Energy above the most stable polymorph in this dataset**: 198 meV/atom
**Space group**: Pmmm (47)

Cell lengths 3.183, 4.416, 4.249 Å; angles 90.00, 90.00, 90.00 degrees
Element x y z (fractional)
Mo  0.500  0.000  0.500
Tc  0.000  0.500  0.500
Al  0.000  0.000  0.000
Al  0.500  0.500  0.000



## SrAl3Ge3 (PBE-GGA)

Data for a relaxed SrAl3Ge3 crystal.

Computed properties:
**Energy above the most stable polymorph in this dataset**: 110 meV/atom
**Space group**: Pm-3n (223)

Cell lengths 7.086, 7.086, 7.086 Å; angles 90.00, 90.00, 90.00 degrees
Element x y z (fractional)
Sr  0.500  0.500  0.500
Sr  0.000  0.000  0.000
Ge  0.250  0.000  0.500
Ge  0.000  0.500  0.250
Ge  0.500  0.750  0.000
Ge  0.750  0.000  0.500
Ge  0.000  0.500  0.750
Ge  0.500  0.250  0.000
Al  0.000  0.250  0.500
Al  0.000  0.750  0.500
Al  0.500  0.000  0.750
Al  0.750  0.500  0.000
Al  0.500  0.000  0.250
Al  0.250  0.500  0.000



## CuSn2PdPt5 (PBE-GGA)

Data for a relaxed CuSn2PdPt5 crystal.

Computed properties:
**Space group**: I4/mcm (140)
**Energy**: -5.071 eV per atom

Cell lengths 7.830, 7.830, 7.768 Å; angles 120.27, 120.27, 90.00 degrees
Element x y z (fractional)
Cu  0.250  0.250  0.500
Cu  0.750  0.750  0.500
Sn  0.119  0.381  0.000
Sn  0.619  0.119  0.000
Sn  0.381  0.881  0.000
Sn  0.881  0.619  0.000
Pd  0.250  0.750  0.500
Pd  0.750  0.250  0.500
Pt  0.937  0.437  0.273
Pt  0.664  0.164  0.727
Pt  0.063  0.563  0.727
Pt  0.164  0.063  0.727
Pt  0.563  0.664  0.727
Pt  0.836  0.937  0.273
Pt  0.437  0.336  0.273
Pt  0.336  0.836  0.273
Pt  0.500  0.500  0.000
Pt  0.000  0.000  0.000



## Ca3GaB2Pt9 (PBE-GGA)

Data for a relaxed Ca3GaB2Pt9 crystal.

Computed properties:
**Space group**: P-3m1 (164)
**Energy**: -5.821 eV per atom

Cell lengths 5.769, 5.769, 9.151 Å; angles 90.00, 90.00, 120.00 degrees
Element x y z (fractional)
Ca  0.333  0.667  0.605
Ca  0.000  0.000  0.000
Ca  0.667  0.333  0.395
Ga  0.000  0.000  0.500
B  0.333  0.667  0.151
B  0.667  0.333  0.849
Pt  0.838  0.162  0.716
Pt  0.838  0.675  0.716
Pt  0.325  0.162  0.716
Pt  0.675  0.838  0.284
Pt  0.162  0.325  0.284
Pt  0.162  0.838  0.284
Pt  0.500  0.000  0.000
Pt  0.000  0.500  0.000
Pt  0.500  0.500  0.000



## NdHo2Pb (PBE-GGA)

Data for a relaxed NdHo2Pb crystal.

Computed properties:
**Energy above the most stable polymorph in this dataset**: 22 meV/atom
**Space group**: P4/mmm (123)

Cell lengths 4.867, 4.911, 4.911 Å; angles 90.00, 90.00, 90.00 degrees
Element x y z (fractional)
Pb  0.500  0.000  0.000
Nd  0.500  0.500  0.500
Ho  0.000  0.000  0.500
Ho  0.000  0.500  0.000



## CdAsP2 (PBE-GGA)

Data for a relaxed CdAsP2 crystal.

Computed properties:
**Energy above the most stable polymorph in this dataset**: 381 meV/atom
**Space group**: P4/mmm (123)

Cell lengths 3.292, 3.294, 6.809 Å; angles 90.00, 90.00, 90.00 degrees
Element x y z (fractional)
As  0.500  0.500  0.250
Cd  0.500  0.500  0.750
P  0.000  0.000  0.041
P  0.000  0.000  0.459